Sr2TlPdAu6 after structural relaxation, computed with PBE-GGA.

Output
The calculation puts the energy relative to the elements at -154 kJ/mol of formula units. As for the crystal system: cubic.

Cell lengths 7.385, 7.385, 7.385 Å; angles 60.00, 60.00, 60.00 degrees
Atoms (fractional coordinates):
Sr 0.250 0.250 0.250
Sr 0.750 0.750 0.750
Tl 0.000 0.000 0.000
Pd 0.500 0.500 0.500
Au 0.256 0.256 0.744
Au 0.256 0.744 0.256
Au 0.256 0.744 0.744
Au 0.744 0.256 0.256
Au 0.744 0.256 0.744
Au 0.744 0.744 0.256